[1]
# LiPuBe2O6

LiPuBe2O6 after structural relaxation (PBE-GGA, the Alexandria database).

a = 6.742 Å, b = 6.742 Å, c = 5.297 Å
α = 107.18°, β = 107.18°, γ = 81.86°
Sites, in units of the cell vectors:
Li 0.084 0.916 0.750
Li 0.916 0.084 0.250
Pu 0.271 0.729 0.250
Pu 0.729 0.271 0.750
Be 0.223 0.361 0.849
Be 0.361 0.223 0.349
Be 0.639 0.777 0.651
Be 0.777 0.639 0.151
O 0.023 0.225 0.697
O 0.169 0.624 0.863
O 0.225 0.023 0.197
O 0.290 0.401 0.186
O 0.376 0.831 0.637
O 0.401 0.290 0.686
O 0.599 0.710 0.314
O 0.624 0.169 0.363
O 0.710 0.599 0.814
O 0.775 0.977 0.803
O 0.831 0.376 0.137
O 0.977 0.775 0.303

Summary:
Magnetization = 2.0 μB per cell
Space-group type = C2/c (15)
Total energy = -7.68 eV/atom

[2]
# Li2PuBe2O6

Li2PuBe2O6 after structural relaxation (PBE-GGA, the Alexandria database).

a = 5.108 Å, b = 5.108 Å, c = 6.195 Å
α = 90.00°, β = 90.00°, γ = 120.00°
Sites, in units of the cell vectors:
Li 0.333 0.667 0.276
Li 0.667 0.333 0.724
Pu 0.000 0.000 0.000
Be 0.333 0.667 0.807
Be 0.667 0.333 0.193
O 0.042 0.691 0.804
O 0.309 0.352 0.804
O 0.352 0.042 0.196
O 0.648 0.958 0.804
O 0.691 0.648 0.196
O 0.958 0.309 0.196

Summary:
Magnetization = 2.0 μB per cell
Space-group type = P-3 (147)
Total energy = -7.36 eV/atom

[3]
# Li3BeRh3O8

Li3BeRh3O8 after structural relaxation (PBE-GGA, the Alexandria database).

a = 5.921 Å, b = 5.921 Å, c = 5.937 Å
α = 120.02°, β = 120.02°, γ = 59.78°
Sites, in units of the cell vectors:
Li 0.000 0.000 0.000
Li 0.000 0.500 0.000
Li 0.500 0.000 0.000
Be 0.000 0.000 0.500
Rh 0.000 0.500 0.500
Rh 0.500 0.000 0.500
Rh 0.500 0.500 0.500
O 0.222 0.222 0.708
O 0.226 0.758 0.711
O 0.242 0.774 0.289
O 0.255 0.255 0.264
O 0.745 0.745 0.736
O 0.758 0.226 0.711
O 0.774 0.242 0.289
O 0.778 0.778 0.292

Summary:
Magnetization = 2.0 μB per cell
Space-group type = C2/m (12)
Total energy = -6.02 eV/atom

[4]
# Li4BeRh3O8

Li4BeRh3O8 after structural relaxation (PBE-GGA, the Alexandria database).

a = 5.884 Å, b = 5.884 Å, c = 5.881 Å
α = 119.22°, β = 119.22°, γ = 60.79°
Sites, in units of the cell vectors:
Li 0.000 0.000 0.000
Li 0.000 0.500 0.500
Li 0.500 0.000 0.500
Li 0.500 0.500 0.000
Be 0.000 0.000 0.500
Rh 0.000 0.500 0.000
Rh 0.500 0.000 0.000
Rh 0.500 0.500 0.500
O 0.229 0.762 0.270
O 0.232 0.232 0.741
O 0.238 0.771 0.730
O 0.255 0.255 0.245
O 0.745 0.745 0.755
O 0.762 0.229 0.270
O 0.768 0.768 0.259
O 0.771 0.238 0.730

Summary:
Magnetization = 0.8 μB per cell
Space-group type = C2/m (12)
Total energy = -5.96 eV/atom

[5]
# Li2Be2RuO6

Li2Be2RuO6 after structural relaxation (PBE-GGA, the Alexandria database).

a = 4.780 Å, b = 4.780 Å, c = 4.837 Å
α = 90.00°, β = 90.00°, γ = 120.00°
Sites, in units of the cell vectors:
Li 0.333 0.667 0.000
Li 0.667 0.333 0.000
Be 0.333 0.667 0.500
Be 0.667 0.333 0.500
Ru 0.000 0.000 0.500
O 0.000 0.350 0.705
O 0.000 0.650 0.295
O 0.350 0.000 0.705
O 0.350 0.350 0.295
O 0.650 0.000 0.295
O 0.650 0.650 0.705

Summary:
Magnetization = 2.0 μB per cell
Space-group type = P-31m (162)
Total energy = -6.19 eV/atom

[6]
# LiBe2RuO

LiBe2RuO after structural relaxation (PBE-GGA, the Alexandria database).

a = 3.814 Å, b = 3.814 Å, c = 3.966 Å
α = 90.00°, β = 90.00°, γ = 90.00°
Sites, in units of the cell vectors:
Li 0.000 0.000 0.000
Be 0.000 0.500 0.000
Be 0.500 0.000 0.000
Ru 0.000 0.000 0.500
O 0.500 0.500 0.500

Summary:
Magnetization = 0.0 μB per cell
Space-group type = P4/mmm (123)
Total energy = -3.42 eV/atom

[7]
# Li2BeRuO4

Li2BeRuO4 after structural relaxation (PBE-GGA, the Alexandria database).

a = 5.214 Å, b = 5.214 Å, c = 5.214 Å
α = 129.54°, β = 129.54°, γ = 74.15°
Sites, in units of the cell vectors:
Li 0.000 0.000 0.000
Li 0.750 0.250 0.500
Be 0.250 0.750 0.500
Ru 0.500 0.500 0.000
O 0.151 0.635 0.063
O 0.365 0.428 0.516
O 0.572 0.088 0.937
O 0.912 0.849 0.484

Summary:
Magnetization = 0.0 μB per cell
Space-group type = I-4 (82)
Total energy = -6.18 eV/atom

[8]
# Li2Be2SbO6

Li2Be2SbO6 after structural relaxation (PBE-GGA, the Alexandria database).

a = 5.000 Å, b = 5.000 Å, c = 5.987 Å
α = 90.00°, β = 90.00°, γ = 120.00°
Sites, in units of the cell vectors:
Li 0.333 0.667 0.295
Li 0.667 0.333 0.705
Be 0.333 0.667 0.820
Be 0.667 0.333 0.180
Sb 0.000 0.000 0.000
O 0.037 0.691 0.806
O 0.309 0.345 0.806
O 0.345 0.037 0.194
O 0.655 0.963 0.806
O 0.691 0.655 0.194
O 0.963 0.309 0.194

Summary:
Magnetization = 1.0 μB per cell
Space-group type = P-3 (147)
Total energy = -5.93 eV/atom

[9]
# LiSc2Be2O6

LiSc2Be2O6 after structural relaxation (PBE-GGA, the Alexandria database).

a = 6.232 Å, b = 6.232 Å, c = 6.232 Å
α = 50.29°, β = 50.29°, γ = 50.29°
Sites, in units of the cell vectors:
Li 0.000 0.000 0.000
Sc 0.169 0.169 0.169
Sc 0.831 0.831 0.831
Be 0.422 0.422 0.422
Be 0.578 0.578 0.578
O 0.240 0.740 0.740
O 0.260 0.260 0.760
O 0.260 0.760 0.260
O 0.740 0.240 0.740
O 0.740 0.740 0.240
O 0.760 0.260 0.260

Summary:
Magnetization = 0.7 μB per cell
Space-group type = R-3m (166)
Total energy = -7.03 eV/atom

[10]
# LiScBe2O

LiScBe2O after structural relaxation (PBE-GGA, the Alexandria database).

a = 3.694 Å, b = 3.694 Å, c = 4.285 Å
α = 90.00°, β = 90.00°, γ = 90.00°
Sites, in units of the cell vectors:
Li 0.000 0.000 0.000
Sc 0.500 0.500 0.000
Be 0.000 0.500 0.500
Be 0.500 0.000 0.500
O 0.500 0.500 0.500

Summary:
Magnetization = 0.0 μB per cell
Space-group type = P4/mmm (123)
Total energy = -4.65 eV/atom

[11]
# Li2BeSeO4

Li2BeSeO4 after structural relaxation (PBE-GGA, the Alexandria database).

a = 5.229 Å, b = 5.229 Å, c = 5.229 Å
α = 128.73°, β = 128.73°, γ = 75.44°
Sites, in units of the cell vectors:
Li 0.000 0.000 0.000
Li 0.750 0.250 0.500
Be 0.250 0.750 0.500
Se 0.500 0.500 0.000
O 0.150 0.643 0.066
O 0.357 0.423 0.506
O 0.577 0.084 0.934
O 0.916 0.850 0.494

Summary:
Magnetization = 0.0 μB per cell
Space-group type = I-4 (82)
Total energy = -5.42 eV/atom

[12]
# Li2Be2SeO6

Li2Be2SeO6 after structural relaxation (PBE-GGA, the Alexandria database).

a = 4.656 Å, b = 4.656 Å, c = 4.870 Å
α = 90.00°, β = 90.00°, γ = 120.00°
Sites, in units of the cell vectors:
Li 0.333 0.667 0.000
Li 0.667 0.333 0.000
Be 0.333 0.667 0.500
Be 0.667 0.333 0.500
Se 0.000 0.000 0.500
O 0.000 0.331 0.702
O 0.000 0.669 0.298
O 0.331 0.000 0.702
O 0.331 0.331 0.298
O 0.669 0.000 0.298
O 0.669 0.669 0.702

Summary:
Magnetization = 0.0 μB per cell
Space-group type = P-31m (162)
Total energy = -5.69 eV/atom